Material: ErPd7Au3
Method: DFT, PBE
State: relaxed

Cell: 7.006 5.675 5.675 Å, 120.00 90.00 90.00°
Atoms (fractional coordinates):
Pd 0.452 0.330 0.165
Au 0.787 0.501 0.499
Au 0.787 0.501 0.002
Pd 0.452 0.835 0.165
Er 0.429 0.333 0.667
Pd 0.113 0.162 0.325
Pd 0.129 0.667 0.333
Pd 0.113 0.675 0.838
Pd 0.113 0.162 0.838
Pd 0.452 0.835 0.670
Au 0.787 0.998 0.499

Calculated values
energy relative to the elements	-0.2794	eV/atom
space-group type	No. 156
N(E_F)	1.080	states/eV/atom
final energy	-4.893	eV per atom